A plane-wave DFT calculation with GGA-PBE was carried out for a relaxed structure of In2CuI6.

```
data_In2CuI6
_symmetry_space_group_name_H-M 'C 1 2/c 1'
_symmetry_Int_Tables_number 15
_symmetry_space_group_name_Hall '-C 2yc'
_cell_length_a 16.5038
_cell_length_b 16.4122
_cell_length_c 9.3907
_cell_angle_alpha 90.00
_cell_angle_beta 123.30
_cell_angle_gamma 90.00
loop_
_atom_site_label
_atom_site_fract_x
_atom_site_fract_y
_atom_site_fract_z
_atom_site_occupancy
In1 0.2028 0.0894 0.3180 1
Cu1 0.0000 0.3137 0.2500 1
I1 0.0942 0.4103 0.5186 1
I2 0.1195 0.2457 0.1867 1
I3 0.1381 0.0166 0.5219 1
```

Summary:
Spin magnetization: 0.000 μB/atom
ΔE_f (raw): -310 kJ/mol of formula units